First-principles (PBE-GGA) data for crystalline NbTeN2F at its relaxed geometry, as listed in Alexandria via LeMat-Bulk.

Its total energy is -5.400 eV per atom. The distance to the lowest polymorph of the same formula comes out at 25.64 kcal/mol of atoms. The calculated density comes out at 6017 kg/m3.

It has space group P4/mmm (No. 123), with a = 4.238 Å, b = 4.238 Å, c = 4.111 Å, α = 90.00°, β = 90.00° and γ = 90.00°. Symmetry generates all atoms from Nb at (0.000, 0.000, 0.000), Te at (0.500, 0.500, 0.500), N at (0.000, 0.500, 0.500) and F at (0.500, 0.500, 0.000).